A plane-wave DFT calculation with GGA-PBE was carried out for crystalline Ce2Ni12As3Pd at its relaxed geometry.

The structure in POSCAR format:
```
Ce2Ni12As3Pd
1.0
-4.555 -4.377 -0.862
0.698 -0.391 -6.325
3.928 -5.021 0.114
Ce Ni As Pd
2 12 3 1
Direct
0.666 0.666 0.666
0.334 0.334 0.334
0.391 0.391 0.888
0.804 0.804 0.313
0.313 0.804 0.804
0.888 0.391 0.391
0.804 0.313 0.804
0.391 0.888 0.391
0.609 0.609 0.112
0.196 0.196 0.687
0.687 0.196 0.196
0.112 0.609 0.609
0.196 0.687 0.196
0.609 0.112 0.609
0.500 0.000 0.000
0.000 0.500 0.000
0.000 0.000 0.500
0.000 0.000 0.000
```

Total DFT energy (no corrections) in eV for the cell shown: -102.28
ΔH_f (0 K) in meV/atom: -105.1